1.
The following is a PBE calculation of a relaxed structure of GaCu6Au2, from the Alexandria database.

Cell lengths 6.651, 4.633, 4.633 Å; angles 66.57, 79.09, 79.09 degrees
Sites, in units of the cell vectors:
Cu: 0.688 0.710 0.220
Au: 0.086 0.318 0.318
Cu: 0.312 0.290 0.780
Cu: 0.688 0.220 0.710
Cu: 0.312 0.780 0.290
Au: 0.914 0.682 0.682
Cu: 0.510 0.248 0.248
Cu: 0.490 0.752 0.752
Ga: 0.000 0.000 0.000

space-group type	C2/m
magnetization	0.0	μB/f.u.
DOS(E_F)	2.8	states/eV/f.u.
energy relative to the elements	-0.004	eV per atom


2.
The following is a PBE calculation of a relaxed structure of Ga4CuAu, from the Alexandria database.

Cell lengths 5.304, 7.350, 7.170 Å; angles 120.58, 111.38, 90.60 degrees
Sites, in units of the cell vectors:
Au: 0.388 0.638 0.277
Ga: 0.245 0.588 0.821
Cu: 0.221 0.971 0.942
Ga: 0.925 0.767 0.179
Ga: 0.075 0.233 0.821
Ga: 0.755 0.412 0.179
Ga: 0.428 0.995 0.684
Ga: 0.572 0.005 0.316
Ga: 0.756 0.689 0.684
Au: 0.612 0.362 0.723
Cu: 0.779 0.029 0.058
Ga: 0.244 0.311 0.316

space-group type	C2/c
magnetization	0.0	μB/f.u.
DOS(E_F)	1.8	states/eV/f.u.
energy relative to the elements	-0.071	eV per atom


3.
The following is a PBE calculation of a relaxed structure of GaCu2Au7, from the Alexandria database.

Cell lengths 4.421, 4.421, 10.770 Å; angles 90.00, 90.00, 120.00 degrees
Sites, in units of the cell vectors:
Au: 0.667 0.333 0.113
Au: 0.333 0.667 0.963
Au: 0.333 0.667 0.431
Ga: 0.000 0.000 0.043
Cu: 0.667 0.333 0.350
Au: 0.667 0.333 0.583
Au: 0.000 0.000 0.290
Au: 0.000 0.000 0.718
Au: 0.667 0.333 0.843
Cu: 0.333 0.667 0.684

space-group type	P3m1
magnetization	0.0	μB/f.u.
DOS(E_F)	4.0	states/eV/f.u.
energy relative to the elements	0.031	eV per atom